This record from Alexandria describes a relaxed GaPtN2O crystal. The functional is PBE-GGA.

The space group is P4/mmm (No. 123) and the conventional cell measures 3.8977, 3.8977 and 3.7553 Å, with angles of 90.00, 90.00 and 90.00 degrees. The asymmetric unit holds Ga at (0.0000, 0.0000, 0.0000), Pt at (0.5000, 0.5000, 0.5000), N at (0.0000, 0.5000, 0.0000) and O at (0.0000, 0.0000, 0.5000).

As for the density of states at the Fermi level: 5.384 states/eV per cell. As for the raw formation energy: 29.8 kcal/mol of atoms.